# PBE-GGA URe2Tc, relaxed
data_URe2Tc
_cell_length_a 4.166
_cell_length_b 4.009
_cell_length_c 4.009
_cell_angle_alpha 90.00
_cell_angle_beta 90.00
_cell_angle_gamma 90.00
_space_group_name_H-M_alt 'P 1'
_space_group_IT_number 1
loop_
_space_group_symop_operation_xyz
'x,y,z'
loop_
_atom_site_label
_atom_site_fract_x
_atom_site_fract_y
_atom_site_fract_z
_atom_site_occupancy
Tc1 0.500 0.500 0.500 1
Re1 0.000 0.500 0.000 1
Re2 0.000 0.000 0.500 1
U1 0.500 0.000 0.000 1
# - Polymorph energy (0 for the lowest one): 43 meV/atom
# - Formation enthalpy at 0 K: 0.177 eV/atom
# - Total DFT energy (no corrections): -45.84 eV for the cell shown
# - Spin magnetization: 0.00 μB/cell



# PBE-GGA LaSm5YTm2, relaxed
data_LaSm5YTm2
_cell_length_a 5.676
_cell_length_b 10.450
_cell_length_c 10.641
_cell_angle_alpha 90.00
_cell_angle_beta 90.00
_cell_angle_gamma 105.76
_space_group_name_H-M_alt 'P 1'
_space_group_IT_number 1
loop_
_space_group_symop_operation_xyz
'x,y,z'
loop_
_atom_site_label
_atom_site_fract_x
_atom_site_fract_y
_atom_site_fract_z
_atom_site_occupancy
La1 0.417 0.833 0.450 1
La2 0.583 0.167 0.950 1
Sm1 0.480 0.959 0.739 1
Sm2 0.297 0.595 0.709 1
Sm3 0.614 0.227 0.524 1
Sm4 0.281 0.562 0.313 1
Sm5 0.703 0.405 0.209 1
Sm6 0.983 0.965 0.523 1
Sm7 0.719 0.438 0.813 1
Sm8 0.017 0.035 0.023 1
Sm9 0.520 0.041 0.239 1
Sm10 0.386 0.773 0.024 1
Y1 0.200 0.400 0.012 1
Y2 0.800 0.600 0.512 1
Tm1 0.887 0.774 0.233 1
Tm2 0.113 0.226 0.733 1
Tm3 0.115 0.230 0.320 1
Tm4 0.885 0.770 0.820 1
# - Formation enthalpy at 0 K: 0.157 eV/atom
# - Total DFT energy (no corrections): -85.04 eV for the cell shown
# - Spin magnetization: 0.00 μB/cell



# PBE-GGA Zn2BI8, relaxed
data_Zn2BI8
_cell_length_a 9.156
_cell_length_b 8.478
_cell_length_c 8.478
_cell_angle_alpha 89.79
_cell_angle_beta 116.13
_cell_angle_gamma 116.13
_space_group_name_H-M_alt 'P 1'
_space_group_IT_number 1
loop_
_space_group_symop_operation_xyz
'x,y,z'
loop_
_atom_site_label
_atom_site_fract_x
_atom_site_fract_y
_atom_site_fract_z
_atom_site_occupancy
I1 0.768 0.971 0.329 1
I2 0.768 0.329 0.971 1
I3 0.232 0.671 0.029 1
I4 0.232 0.029 0.671 1
I5 0.747 0.813 0.813 1
I6 0.763 0.472 0.472 1
I7 0.237 0.528 0.528 1
I8 0.253 0.187 0.187 1
B1 0.000 0.000 0.000 1
Zn1 0.137 0.697 0.697 1
Zn2 0.863 0.303 0.303 1
# - Total DFT energy (no corrections): -23.00 eV for the cell shown
# - Spin magnetization: 0.00 μB/cell



# PBE-GGA Ac6In2Ag, relaxed
data_Ac6In2Ag
_cell_length_a 6.970
_cell_length_b 9.411
_cell_length_c 10.672
_cell_angle_alpha 90.00
_cell_angle_beta 86.98
_cell_angle_gamma 90.00
_space_group_name_H-M_alt 'P 1'
_space_group_IT_number 1
loop_
_space_group_symop_operation_xyz
'x,y,z'
loop_
_atom_site_label
_atom_site_fract_x
_atom_site_fract_y
_atom_site_fract_z
_atom_site_occupancy
Ac1 0.106 0.319 0.062 1
Ac2 0.619 0.169 0.941 1
Ac3 0.877 0.965 0.221 1
Ac4 0.394 0.819 0.438 1
Ac5 0.894 0.681 0.938 1
Ac6 0.377 0.535 0.721 1
Ac7 0.381 0.831 0.059 1
Ac8 0.123 0.035 0.779 1
Ac9 0.623 0.465 0.279 1
Ac10 0.606 0.181 0.562 1
Ac11 0.119 0.331 0.441 1
Ac12 0.881 0.669 0.559 1
In1 0.919 0.374 0.752 1
In2 0.419 0.126 0.252 1
In3 0.081 0.626 0.248 1
In4 0.581 0.874 0.748 1
Ag1 0.500 0.500 0.000 1
Ag2 0.000 0.000 0.500 1
# - Formation enthalpy at 0 K: -0.175 eV/atom
# - Total DFT energy (no corrections): -69.11 eV for the cell shown
# - Spin magnetization: 0.00 μB/cell



# PBE-GGA Cd4GaAg7, relaxed
data_Cd4GaAg7
_cell_length_a 5.015
_cell_length_b 9.726
_cell_length_c 5.764
_cell_angle_alpha 82.33
_cell_angle_beta 64.22
_cell_angle_gamma 75.06
_space_group_name_H-M_alt 'P 1'
_space_group_IT_number 1
loop_
_space_group_symop_operation_xyz
'x,y,z'
loop_
_atom_site_label
_atom_site_fract_x
_atom_site_fract_y
_atom_site_fract_z
_atom_site_occupancy
Cd1 0.403 0.770 0.423 1
Cd2 0.731 0.692 0.845 1
Cd3 0.597 0.230 0.577 1
Cd4 0.269 0.308 0.155 1
Ga1 0.000 0.000 0.000 1
Ag1 0.200 0.079 0.521 1
Ag2 0.350 0.528 0.772 1
Ag3 0.500 0.000 0.000 1
Ag4 0.958 0.375 0.708 1
Ag5 0.042 0.625 0.292 1
Ag6 0.650 0.472 0.228 1
Ag7 0.800 0.921 0.479 1
# - Polymorph energy (0 for the lowest one): 51 meV/atom
# - Formation enthalpy at 0 K: 0.054 eV/atom
# - Total DFT energy (no corrections): -26.00 eV for the cell shown
# - Spin magnetization: 0.00 μB/cell



# PBE-GGA Ce2Ge3Os, relaxed
data_Ce2Ge3Os
_cell_length_a 4.401
_cell_length_b 5.771
_cell_length_c 5.816
_cell_angle_alpha 73.70
_cell_angle_beta 67.77
_cell_angle_gamma 67.59
_space_group_name_H-M_alt 'P 1'
_space_group_IT_number 1
loop_
_space_group_symop_operation_xyz
'x,y,z'
loop_
_atom_site_label
_atom_site_fract_x
_atom_site_fract_y
_atom_site_fract_z
_atom_site_occupancy
Ge1 0.806 0.268 0.119 1
Ge2 0.177 0.739 0.907 1
Ge3 0.865 0.608 0.663 1
Ce1 0.549 0.192 0.709 1
Ce2 0.437 0.823 0.304 1
Os1 0.166 0.370 0.298 1
# - Polymorph energy (0 for the lowest one): 29 meV/atom
# - Formation enthalpy at 0 K: -0.530 eV/atom
# - Total DFT energy (no corrections): -40.13 eV for the cell shown
# - Spin magnetization: 0.41 μB/cell



# PBE-GGA CsMg2Zn2, relaxed
data_CsMg2Zn2
_cell_length_a 7.998
_cell_length_b 7.998
_cell_length_c 7.998
_cell_angle_alpha 145.99
_cell_angle_beta 145.99
_cell_angle_gamma 48.86
_space_group_name_H-M_alt 'P 1'
_space_group_IT_number 1
loop_
_space_group_symop_operation_xyz
'x,y,z'
loop_
_atom_site_label
_atom_site_fract_x
_atom_site_fract_y
_atom_site_fract_z
_atom_site_occupancy
Zn1 0.639 0.639 0.000 1
Zn2 0.361 0.361 0.000 1
Cs1 0.000 0.000 0.000 1
Mg1 0.250 0.750 0.500 1
Mg2 0.750 0.250 0.500 1
# - Polymorph energy (0 for the lowest one): 0 meV/atom
# - Formation enthalpy at 0 K: 0.132 eV/atom
# - Total DFT energy (no corrections): -5.93 eV for the cell shown
# - Spin magnetization: 0.00 μB/cell



# PBE-GGA CsIn12Sn7, relaxed
data_CsIn12Sn7
_cell_length_a 9.653
_cell_length_b 9.653
_cell_length_c 9.653
_cell_angle_alpha 109.47
_cell_angle_beta 109.47
_cell_angle_gamma 109.47
_space_group_name_H-M_alt 'P 1'
_space_group_IT_number 1
loop_
_space_group_symop_operation_xyz
'x,y,z'
loop_
_atom_site_label
_atom_site_fract_x
_atom_site_fract_y
_atom_site_fract_z
_atom_site_occupancy
Cs1 0.000 0.000 0.000 1
Sn1 0.500 0.500 0.500 1
Sn2 0.500 0.500 0.000 1
Sn3 0.500 0.000 0.500 1
Sn4 0.500 0.000 0.000 1
Sn5 0.000 0.000 0.500 1
Sn6 0.000 0.500 0.000 1
Sn7 0.000 0.500 0.500 1
In1 0.882 0.648 0.234 1
In2 0.648 0.234 0.882 1
In3 0.234 0.586 0.352 1
In4 0.766 0.414 0.648 1
In5 0.648 0.766 0.414 1
In6 0.414 0.648 0.766 1
In7 0.234 0.882 0.648 1
In8 0.352 0.234 0.586 1
In9 0.118 0.352 0.766 1
In10 0.586 0.352 0.234 1
In11 0.766 0.118 0.352 1
In12 0.352 0.766 0.118 1
# - Formation enthalpy at 0 K: 0.080 eV/atom
# - Total DFT energy (no corrections): -60.13 eV for the cell shown
# - Spin magnetization: 0.00 μB/cell



- What is the formula in the seventh record?
  CsMg2Zn2



- total DFT energy (no corrections) of number 1 (URe2Tc)?
  -45.84 eV for the cell shown